Compound: Sr2EuY
Source: Alexandria
Functional: PBE
Structure: relaxed

- formation enthalpy at 0 K (eV per atom) = 0.185

```
data_Sr2EuY
_chemical_formula_sum 'Sr8 Eu4 Y4'
_symmetry_space_group_name_H-M 'F m -3 m'
_symmetry_Int_Tables_number 225
_symmetry_space_group_name_Hall '-F 4 2 3'
_cell_length_a 8.862
_cell_length_b 8.862
_cell_length_c 8.862
_cell_angle_alpha 90.00
_cell_angle_beta 90.00
_cell_angle_gamma 90.00
loop_
_atom_site_label
_atom_site_fract_x
_atom_site_fract_y
_atom_site_fract_z
_atom_site_occupancy
Sr1 0.250 0.250 0.250 1
Eu1 0.000 0.000 0.000 1
Y1 0.000 0.000 0.500 1
```

Compound: Ga4Cu5
Source: Alexandria
Functional: PBE
Structure: relaxed

- formation enthalpy at 0 K (eV per atom) = -0.041

```
data_Ga4Cu5
_chemical_formula_sum 'Ga4 Cu5'
_symmetry_space_group_name_H-M 'P -1'
_symmetry_Int_Tables_number 2
_cell_length_a 3.763
_cell_length_b 4.698
_cell_length_c 7.950
_cell_angle_alpha 96.47
_cell_angle_beta 102.01
_cell_angle_gamma 113.01
loop_
_symmetry_equiv_pos_as_xyz
'x,y,z'
'-x,-y,-z'
loop_
_atom_site_label
_atom_site_fract_x
_atom_site_fract_y
_atom_site_fract_z
_atom_site_occupancy
Ga1 0.036 0.371 0.209 1
Ga2 0.177 0.173 0.669 1
Cu1 0.279 0.945 0.114 1
Cu2 0.385 0.720 0.553 1
Cu3 0.500 0.500 0.000 1
```

Compound: NaAg4Pb2
Source: Alexandria
Functional: PBE
Structure: relaxed

- formation enthalpy at 0 K (eV per atom) = 0.030

```
data_NaAg4Pb2
_chemical_formula_sum 'Na2 Ag8 Pb4'
_symmetry_space_group_name_H-M 'I 4/m m m'
_symmetry_Int_Tables_number 139
_symmetry_space_group_name_Hall '-I 4 2'
_cell_length_a 4.145
_cell_length_b 4.145
_cell_length_c 19.849
_cell_angle_alpha 90.00
_cell_angle_beta 90.00
_cell_angle_gamma 90.00
loop_
_atom_site_label
_atom_site_fract_x
_atom_site_fract_y
_atom_site_fract_z
_atom_site_occupancy
Na1 0.000 0.000 0.000 1
Ag1 0.000 0.000 0.150 1
Ag2 0.000 0.500 0.250 1
Pb1 0.000 0.000 0.386 1
```

Compound: BeFe2OsPd
Source: Alexandria
Functional: PBE
Structure: relaxed

- formation enthalpy at 0 K (eV per atom) = 1.706

```
data_BeFe2OsPd
_chemical_formula_sum 'Be1 Fe2 Os1 Pd1'
_symmetry_space_group_name_H-M 'P 4/m m m'
_symmetry_Int_Tables_number 123
_symmetry_space_group_name_Hall '-P 4 2'
_cell_length_a 4.443
_cell_length_b 4.443
_cell_length_c 4.910
_cell_angle_alpha 90.00
_cell_angle_beta 90.00
_cell_angle_gamma 90.00
loop_
_atom_site_label
_atom_site_fract_x
_atom_site_fract_y
_atom_site_fract_z
_atom_site_occupancy
Be1 0.000 0.000 0.000 1
Fe1 0.000 0.500 0.500 1
Os1 0.500 0.500 0.500 1
Pd1 0.500 0.500 0.000 1
```

Compound: KSnAs2Br
Source: Alexandria
Functional: PBE
Structure: relaxed

- uncorrected formation energy (eV per atom) = 0.88

```
data_KSnAs2Br
_chemical_formula_sum 'K1 Sn1 As2 Br1'
_symmetry_space_group_name_H-M 'P 4/m m m'
_symmetry_Int_Tables_number 123
_symmetry_space_group_name_Hall '-P 4 2'
_cell_length_a 5.632
_cell_length_b 5.632
_cell_length_c 5.658
_cell_angle_alpha 90.00
_cell_angle_beta 90.00
_cell_angle_gamma 90.00
loop_
_atom_site_label
_atom_site_fract_x
_atom_site_fract_y
_atom_site_fract_z
_atom_site_occupancy
K1 0.000 0.000 0.000 1
Sn1 0.500 0.500 0.500 1
As1 0.000 0.500 0.000 1
Br1 0.000 0.000 0.500 1
```

Compound: Al2BiNO
Source: Alexandria
Functional: PBE
Structure: relaxed

- uncorrected formation energy (eV per atom) = 1.39

```
data_Al2BiNO
_chemical_formula_sum 'Al2 Bi1 N1 O1'
_symmetry_space_group_name_H-M 'P 4/m m m'
_symmetry_Int_Tables_number 123
_symmetry_space_group_name_Hall '-P 4 2'
_cell_length_a 5.648
_cell_length_b 5.648
_cell_length_c 4.321
_cell_angle_alpha 90.00
_cell_angle_beta 90.00
_cell_angle_gamma 90.00
loop_
_atom_site_label
_atom_site_fract_x
_atom_site_fract_y
_atom_site_fract_z
_atom_site_occupancy
Al1 0.000 0.500 0.000 1
Bi1 0.000 0.000 0.000 1
N1 0.500 0.500 0.500 1
O1 0.000 0.000 0.500 1
```